PmSmSbO2, relaxed, DFT GGA-PBE; raw formation energy = -1269.5 kJ/mol of formula units; space-group type = No. 107; N(E_F) = 3.30 states/eV per cell; mass density = 6949 kg/m3
1.0
3.9578 0.0000 0.0000
0.0000 3.9578 0.0000
0.0000 0.0000 13.7037
Pm Sm Sb O
2 2 2 4
direct
0.0000 0.0000 0.0000 Pm
0.5000 0.5000 0.5000 Pm
0.0000 0.0000 0.3283 Sm
0.5000 0.5000 0.8283 Sm
0.0000 0.0000 0.6645 Sb
0.5000 0.5000 0.1645 Sb
0.0000 0.5000 0.4133 O
0.0000 0.5000 0.9133 O
0.5000 0.0000 0.4133 O
0.5000 0.0000 0.9133 O